Entry 1:
Entry from Alexandria: an optimized crystal structure of BaNaIn2Te4 (PBE).

* final energy: -3.305 eV per atom

a b c (Å): 7.3713 8.4492 9.3670
angles (deg): 90.00 90.00 90.00
Last column: nearest neighbours and their distance in Å.
Space group I222 (No. 23)
Inequivalent atoms, fractional coordinates:
Ba 0.0000 0.0000 0.0000  8 Te 3.61-3.78
Na 0.0000 0.0000 0.5000  4 Te 3.14
In 0.0000 0.5000 0.1571  1 In 2.94, 4 Te 2.98-2.99
Te 0.1991 0.2267 0.2863  2 In 2.98-2.99, 1 Na 3.14


Entry 2:
Entry from Alexandria: an optimized crystal structure of Ba2NaInTe4 (PBE).

* final energy: -3.612 eV per atom

a b c (Å): 9.4875 9.6171 13.1250
angles (deg): 90.00 90.00 90.00
Last column: nearest neighbours and their distance in Å.
Space group Imma (No. 74)
Inequivalent atoms, fractional coordinates:
Ba 0.0000 0.0000 0.0000  6 Te 3.42-3.48
Ba 0.2500 0.2500 0.2500  6 Te 3.53-3.59
Na 0.0000 0.0000 0.5000  6 Te 3.16-3.31
In 0.2500 0.2500 0.7500  6 Te 2.98-3.23
Te 0.0000 0.0219 0.7400  1 Na 3.16, 2 In 3.23, 3 Ba 3.42-3.53
Te 0.2369 0.2500 0.5235  1 In 2.98, 2 Na 3.31


Entry 3:
Entry from Alexandria: an optimized crystal structure of Ba2NaTl4In3 (PBE).

* formation energy: -269 meV per atom

a b c (Å): 5.0408 5.0408 13.0568
angles (deg): 90.00 90.00 90.00
Last column: nearest neighbours and their distance in Å.
Space group P-4m2 (No. 115)
Inequivalent atoms, fractional coordinates:
Ba 0.0000 0.5000 0.2359  4 In 3.79, 8 Tl 3.93-3.98
Na 0.0000 0.0000 0.5000  4 Tl 3.09
Tl 0.0000 0.0000 0.0000  4 In 3.10
Tl 0.0000 0.5000 0.6370  3 In 2.94-3.09, 2 Na 3.09
Tl 0.5000 0.5000 0.0000  4 In 3.10
In 0.0000 0.5000 0.8622  5 Tl 2.94-3.10
In 0.5000 0.5000 0.5000  4 Tl 3.09


Entry 4:
Entry from Alexandria: an optimized crystal structure of BaNaTl2In (PBE).

* formation energy: -252 meV per atom

a b c (Å): 5.0356 5.0356 13.1446
angles (deg): 90.00 90.00 90.00
Last column: nearest neighbours and their distance in Å.
Space group I-4m2 (No. 119)
Inequivalent atoms, fractional coordinates:
Ba 0.0000 0.0000 0.0000  8 Tl 3.87, 4 Na 4.14, 4 In 4.14
Na 0.0000 0.5000 0.7500  4 Tl 3.08
Tl 0.0000 0.0000 0.3852  1 Tl 3.02, 2 In 3.08, 2 Na 3.08
In 0.0000 0.5000 0.2500  4 Tl 3.08


Entry 5:
Entry from Alexandria: an optimized crystal structure of Ba4NaTl2In (PBE).

* formation energy: -311 meV per atom

a b c (Å): 6.1418 6.1418 30.1588
angles (deg): 90.00 90.00 120.00
Last column: nearest neighbours and their distance in Å.
Space group R-3m (No. 166, hexagonal axes)
Inequivalent atoms, fractional coordinates:
Ba 0.0000 0.0000 0.1196  1 In 3.61, 4 Tl 3.69-3.85, 3 Na 3.82
Ba 0.0000 0.0000 0.3701  4 Tl 3.71-3.85, 3 In 3.72, 1 Na 3.92
Na 0.0000 0.0000 0.5000  8 Ba 3.82-3.92
Tl 0.0000 0.0000 0.2471  8 Ba 3.69-3.85
In 0.0000 0.0000 0.0000  8 Ba 3.61-3.72


Entry 6:
Entry from Alexandria: an optimized crystal structure of BaNaTlIn (PBE).

* formation energy: -243 meV per atom

a b c (Å): 8.0159 8.0159 8.0159
angles (deg): 90.00 90.00 90.00
Last column: nearest neighbours and their distance in Å.
Space group F-43m (No. 216)
Inequivalent atoms, fractional coordinates:
Ba 0.0000 0.0000 0.0000  4 Tl 3.47, 4 Na 3.47
Na 0.2500 0.2500 0.7500  4 Ba 3.47, 4 In 3.47
Tl 0.2500 0.2500 0.2500  4 In 3.47, 4 Ba 3.47
In 0.0000 0.0000 0.5000  4 Na 3.47, 4 Tl 3.47


Entry 7:
Entry from Alexandria: an optimized crystal structure of Ba2NaTl3In4 (PBE).

* formation energy: -263 meV per atom

a b c (Å): 4.9869 4.9869 13.1928
angles (deg): 90.00 90.00 90.00
Last column: nearest neighbours and their distance in Å.
Space group P-4m2 (No. 115)
Inequivalent atoms, fractional coordinates:
Ba 0.0000 0.5000 0.2369  4 Tl 3.76, 8 In 3.89-4.00
Na 0.0000 0.0000 0.5000  4 In 3.09
Tl 0.0000 0.5000 0.8611  5 In 2.94-3.09
Tl 0.5000 0.5000 0.5000  4 In 3.09
In 0.0000 0.0000 0.0000  4 Tl 3.09
In 0.0000 0.5000 0.6383  3 Tl 2.94-3.09, 2 Na 3.09
In 0.5000 0.5000 0.0000  4 Tl 3.09


Entry 8:
Entry from Alexandria: an optimized crystal structure of Ba2NaTl6In (PBE).

* formation energy: -37 meV per atom

a b c (Å): 11.4507 11.4507 11.4507
angles (deg): 90.00 90.00 90.00
Last column: nearest neighbours and their distance in Å.
Space group Fm-3m (No. 225)
Inequivalent atoms, fractional coordinates:
Ba 0.2500 0.2500 0.2500  12 Tl 4.05
Na 0.0000 0.0000 0.0000  6 Tl 2.83
Tl 0.0000 0.0000 0.2473  1 Na 2.83, 1 In 2.89
In 0.0000 0.0000 0.5000  6 Tl 2.89


Number 1: calculated density 5.1 g/cm3. Number 2: calculated density 5.1 g/cm3. Number 3: calculated density 7.3 g/cm3. Number 4: calculated density 6.8 g/cm3. Number 5: calculated density 5.5 g/cm3. Number 6: calculated density 6.2 g/cm3. Number 7: calculated density 6.9 g/cm3. Number 8: calculated density 7.2 g/cm3.